<i>
## LaPrGaHg (PBE-GGA)

Data for crystalline LaPrGaHg at its relaxed geometry.

Cell lengths 5.4191, 5.4191, 5.4191 Å; angles 60.00, 60.00, 60.00 degrees
With the nearest neighbours (Å) after each atom.
Atoms (fractional coordinates):
Ga1 0.2500 0.2500 0.2500  4 La 3.32, 4 Pr 3.32
Pr1 0.0000 0.0000 0.0000  4 Hg 3.32, 4 Ga 3.32
Hg1 0.7500 0.7500 0.7500  4 La 3.32, 4 Pr 3.32
La1 0.5000 0.5000 0.5000  4 Hg 3.32, 4 Ga 3.32

<ii>
## LaPrGaHg (PBE-GGA)

Data for crystalline LaPrGaHg at its relaxed geometry.

Cell lengths 3.7540, 3.7540, 7.8866 Å; angles 90.00, 90.00, 90.00 degrees
With the nearest neighbours (Å) after each atom.
Atoms (fractional coordinates):
Ga1 0.0000 0.0000 0.3618  4 Pr 3.22, 4 La 3.25
Pr1 0.5000 0.5000 0.5930  4 Ga 3.22, 4 Hg 3.34
Hg1 0.0000 0.0000 0.8496  4 Pr 3.34, 4 La 3.42
La1 0.5000 0.5000 0.1235  4 Ga 3.25, 4 Hg 3.42

Of them, <ii> has the highest stability.

<i>
## LaTbGaHg (PBE-GGA)

Data for crystalline LaTbGaHg at its relaxed geometry.

Cell lengths 3.6994, 3.6994, 7.7043 Å; angles 90.00, 90.00, 90.00 degrees
With the nearest neighbours (Å) after each atom.
Atoms (fractional coordinates):
Hg1 0.0000 0.0000 0.8318  4 Tb 3.19, 4 La 3.46, 1 Ga 3.52
La1 0.5000 0.5000 0.1258  4 Ga 3.25, 4 Hg 3.46, 1 Tb 3.62
Tb1 0.5000 0.5000 0.5953  4 Ga 3.12, 4 Hg 3.19
Ga1 0.0000 0.0000 0.3750  4 Tb 3.12, 4 La 3.25

<ii>
## LaTbGaHg (PBE-GGA)

Data for crystalline LaTbGaHg at its relaxed geometry.

Cell lengths 5.3368, 5.3368, 5.3368 Å; angles 60.00, 60.00, 60.00 degrees
With the nearest neighbours (Å) after each atom.
Atoms (fractional coordinates):
Hg1 0.0000 0.0000 0.0000  4 Tb 3.27, 4 La 3.27
Tb1 0.7500 0.7500 0.7500  4 Hg 3.27, 4 Ga 3.27
La1 0.2500 0.2500 0.2500  4 Ga 3.27, 4 Hg 3.27
Ga1 0.5000 0.5000 0.5000  4 La 3.27, 4 Tb 3.27

Of them, <i> has the highest stability.